# 1
Here is a geometry-optimized TaFeCo2O6 structure from Alexandria. Energies are from GGA+U.

Computed properties:
theoretical density: 7.0 g/cm³
crystal system: triclinic

a b c (Å): 5.1699 5.1725 5.4863
angles (deg): 117.85 90.03 119.95
Last column: nearest neighbours and their distance in Å.
Space group P1 (No. 1)
Inequivalent atoms, fractional coordinates:
1 Ta 0.0000 0.0000 0.0000  6 O 1.93-2.11
2 Fe 0.5055 0.0133 0.5190  6 O 2.06-2.23
3 Co 0.1994 0.3987 0.5977  6 O 1.93-1.99
4 Co 0.7163 0.4337 0.1498  3 O 2.03-2.04
5 O 0.1077 0.9335 0.3284  2 Co 1.93-2.04, 1 Fe 2.06, 1 Ta 2.11
6 O 0.2774 0.8775 0.8207  1 Ta 1.94, 1 Co 1.99
7 O 0.3917 0.4990 0.3248  2 Co 1.93-2.03, 1 Fe 2.08, 1 Ta 2.10
8 O 0.6004 0.5472 0.8233  1 Ta 1.93, 1 Co 1.99
9 O 0.8256 0.2190 0.3274  2 Co 1.93-2.03, 1 Fe 2.06, 1 Ta 2.11
10 O 0.9416 0.2215 0.8218  1 Ta 1.94, 1 Co 1.99

***

# 2
Here is a geometry-optimized FeCo2TcO6 structure from Alexandria. Energies are from GGA+U.

Computed properties:
theoretical density: 5.9 g/cm³
crystal system: trigonal

a b c (Å): 5.0779 5.0779 13.9267
angles (deg): 90.00 90.00 120.00
Last column: nearest neighbours and their distance in Å.
Space group R3 (No. 146, hexagonal axes)
Inequivalent atoms, fractional coordinates:
1 Fe 0.0000 0.0000 0.0000  6 O 1.98-2.10
2 Co 0.0000 0.0000 0.3063  6 O 1.96-1.98
3 Co 0.0000 0.0000 0.7947  6 O 2.02-2.22
4 Tc 0.0000 0.0000 0.5017  6 O 2.00-2.08
5 O 0.0065 0.3212 0.9037  1 Co 1.96, 1 Tc 2.00, 1 Fe 2.10
6 O 0.0417 0.6760 0.0655  2 Co 1.98-2.02, 1 Fe 1.98, 1 Tc 2.08

***

# 3
Here is a geometry-optimized FeCo2TeO6 structure from Alexandria. Energies are from GGA+U.

Computed properties:
theoretical density: 6.0 g/cm³
crystal system: trigonal

a b c (Å): 5.2322 5.2322 13.9180
angles (deg): 90.00 90.00 120.00
Last column: nearest neighbours and their distance in Å.
Space group R3 (No. 146, hexagonal axes)
Inequivalent atoms, fractional coordinates:
1 Fe 0.0000 0.0000 0.0000  6 O 2.06-2.07
2 Co 0.0000 0.0000 0.2076  6 O 2.05-2.21
3 Co 0.0000 0.0000 0.6928  6 O 1.94-1.97
4 Te 0.0000 0.0000 0.4898  6 O 2.19-2.20
5 O 0.0000 0.7084 0.6032  2 Co 1.97-2.05, 1 Fe 2.06, 1 Te 2.20
6 O 0.0584 0.3449 0.7632  1 Co 1.94, 1 Fe 2.07

***

# 4
Here is a geometry-optimized Fe2CoTeO6 structure from Alexandria. Energies are from GGA+U.

Computed properties:
theoretical density: 5.9 g/cm³
crystal system: monoclinic

a b c (Å): 5.3757 5.3330 9.4087
angles (deg): 90.00 124.51 90.00
Last column: nearest neighbours and their distance in Å.
Space group P2_1/c (No. 14)
Inequivalent atoms, fractional coordinates:
1 Fe 0.2358 0.0320 0.2279  4 O 2.08-2.14
2 Co 0.0000 0.0000 0.5000  6 O 2.03-2.20
3 Te 0.5000 0.0000 0.0000  6 O 1.96-1.98
4 O 0.1414 0.1715 0.9585  1 Te 1.96, 1 Co 2.03, 1 Fe 2.08
5 O 0.2524 0.6961 0.9160  1 Te 1.96, 1 Fe 2.11, 1 Co 2.19
6 O 0.3807 0.0854 0.7649  1 Te 1.98, 2 Fe 2.12-2.14, 1 Co 2.20

***

# 5
Here is a geometry-optimized Fe3Co3Te2O16 structure from Alexandria. Energies are from GGA+U.

Computed properties:
theoretical density: 5.5 g/cm³
crystal system: monoclinic

a b c (Å): 9.9097 5.7421 9.0996
angles (deg): 90.00 90.91 90.00
Last column: nearest neighbours and their distance in Å.
Space group Cm (No. 8)
Inequivalent atoms, fractional coordinates:
1 Fe 0.0000 0.0000 0.0000  6 O 1.88-2.00
2 Fe 0.4179 0.2459 0.5003  6 O 1.86-2.01
3 Co 0.1624 0.5000 0.5042  6 O 1.87-1.97
4 Co 0.2467 0.2457 0.0034  6 O 1.88-1.97
5 Te 0.0018 0.5000 0.2248  6 O 1.94-2.04
6 Te 0.1689 0.0000 0.7262  6 O 1.93-2.05
7 O 0.0764 0.2768 0.3785  1 Co 1.91, 1 Fe 1.94, 1 Te 2.03
8 O 0.0910 0.2262 0.8765  1 Co 1.92, 1 Fe 1.95, 1 Te 2.05
9 O 0.1652 0.0000 0.1054  2 Co 1.88, 1 Fe 1.88
10 O 0.1713 0.5000 0.1211  1 Te 1.94, 2 Co 1.97
11 O 0.2516 0.2558 0.6230  1 Te 1.93, 1 Co 1.97, 1 Fe 2.01
12 O 0.3158 0.0000 0.8827  2 Co 1.92, 1 Te 2.02
13 O 0.3301 0.5000 0.9057  1 Fe 1.88, 2 Co 1.90
14 O 0.3334 0.5000 0.4119  2 Fe 1.86, 1 Co 1.90
15 O 0.3502 0.0000 0.3740  2 Fe 1.93, 1 Te 2.04
16 O 0.4131 0.2572 0.1239  1 Te 1.94, 1 Co 1.97, 1 Fe 2.00
17 O 0.4965 0.5000 0.6225  1 Te 1.94, 2 Fe 1.99
18 O 0.4989 0.0000 0.6049  1 Co 1.87, 2 Fe 1.88

***

# 6
Here is a geometry-optimized TiFeCo2O6 structure from Alexandria. Energies are from GGA+U.

Computed properties:
theoretical density: 5.2 g/cm³
crystal system: trigonal

a b c (Å): 5.0414 5.0414 13.7552
angles (deg): 90.00 90.00 120.00
Last column: nearest neighbours and their distance in Å.
Space group R3 (No. 146, hexagonal axes)
Inequivalent atoms, fractional coordinates:
1 Ti 0.0000 0.0000 0.0000  6 O 1.89-2.11
2 Fe 0.0000 0.0000 0.5096  6 O 1.97-2.11
3 Co 0.0000 0.0000 0.2008  6 O 1.92-1.98
4 Co 0.0000 0.0000 0.7192  6 O 2.02-2.24
5 O 0.0104 0.3432 0.2740  1 Ti 1.89, 1 Co 1.98, 1 Fe 2.11
6 O 0.0144 0.7172 0.1110  2 Co 1.92-2.02, 1 Fe 1.97, 1 Ti 2.11

***

# 7
Here is a geometry-optimized Tl2FeCoO4 structure from Alexandria. Energies are from GGA+U.

Computed properties:
theoretical density: 5.8 g/cm³
crystal system: orthorhombic

a b c (Å): 5.4653 12.5710 19.4867
angles (deg): 90.00 90.00 90.00
Last column: nearest neighbours and their distance in Å.
Space group Fddd (No. 70, origin choice 2)
Inequivalent atoms, fractional coordinates:
1 Tl 0.1250 0.1250 0.2979  2 O 2.53
2 Fe 0.1250 0.1250 0.1250  4 O 1.86
3 Co 0.1250 0.1250 0.6250  4 O 1.85
4 O 0.1232 0.3619 0.9391  1 Co 1.85, 1 Fe 1.86

***

# 8
Here is a geometry-optimized UFeCo2O6 structure from Alexandria. Energies are from GGA+U.

Computed properties:
theoretical density: 5.8 g/cm³
crystal system: tetragonal

a b c (Å): 5.9853 5.9853 4.0924
angles (deg): 90.00 90.00 90.00
Last column: nearest neighbours and their distance in Å.
Space group P4mm (No. 99)
Inequivalent atoms, fractional coordinates:
1 U 0.0000 0.0000 0.0000  6 O 2.05-2.10
2 Fe 0.5000 0.5000 0.9992  6 O 2.04-2.13
3 Co 0.0000 0.5000 0.0014  4 O 2.12
4 O 0.0000 0.0000 0.5001  2 U 2.05
5 O 0.2480 0.2480 0.0004  1 U 2.10, 2 Co 2.12, 1 Fe 2.13
6 O 0.5000 0.5000 0.4995  2 Fe 2.04-2.05

***

# 9
Here is a geometry-optimized VFeCoO4 structure from Alexandria. Energies are from GGA+U.

Computed properties:
theoretical density: 4.8 g/cm³
crystal system: orthorhombic

a b c (Å): 6.0338 6.0618 8.6021
angles (deg): 90.00 90.00 90.00
Last column: nearest neighbours and their distance in Å.
Space group Imma (No. 74)
Inequivalent atoms, fractional coordinates:
1 V 0.0000 0.2500 0.1305  4 O 1.95-1.98
2 Fe 0.0000 0.0000 0.5000  6 O 2.04-2.06
3 Co 0.2500 0.2500 0.7500  6 O 2.10-2.14
4 O 0.0000 0.0105 0.7369  1 V 1.95, 1 Fe 2.04, 2 Co 2.10
5 O 0.2311 0.2500 0.5011  1 V 1.98, 2 Fe 2.06, 1 Co 2.14

***

# 10
Here is a geometry-optimized V2FeCoO structure from Alexandria. Energies are from GGA+U.

Computed properties:
theoretical density: 5.7 g/cm³
crystal system: tetragonal

a b c (Å): 4.4988 4.4988 3.3413
angles (deg): 90.00 90.00 90.00
Last column: nearest neighbours and their distance in Å.
Space group P4/mmm (No. 123)
Inequivalent atoms, fractional coordinates:
1 V 0.0000 0.5000 0.0000  2 Fe 2.25
2 Fe 0.0000 0.0000 0.0000  2 O 1.67
3 Co 0.5000 0.5000 0.5000  8 V 2.80
4 O 0.0000 0.0000 0.5000  2 Fe 1.67

***

# 11
Here is a geometry-optimized FeCoWO2 structure from Alexandria. Energies are from GGA+U.

Computed properties:
theoretical density: 7.4 g/cm³
crystal system: tetragonal

a b c (Å): 3.5559 3.5559 5.8495
angles (deg): 90.00 90.00 90.00
Last column: nearest neighbours and their distance in Å.
Space group P4/mmm (No. 123)
Inequivalent atoms, fractional coordinates:
1 Fe 0.0000 0.0000 0.0000  4 O 1.78
2 Co 0.5000 0.5000 0.5000  4 W 2.51
3 W 0.0000 0.0000 0.5000  4 Co 2.51
4 O 0.0000 0.5000 0.0000  2 Fe 1.78

***

# 12
Here is a geometry-optimized FeCo2WO6 structure from Alexandria. Energies are from GGA+U.

Computed properties:
theoretical density: 6.9 g/cm³
crystal system: triclinic

a b c (Å): 5.1619 5.2081 5.5682
angles (deg): 62.16 62.53 60.47
Last column: nearest neighbours and their distance in Å.
Space group P1 (No. 1)
Inequivalent atoms, fractional coordinates:
1 Fe 0.0000 0.0000 0.0000  6 O 1.99-2.13
2 Co 0.2889 0.2886 0.1367  4 O 2.02-2.24
3 Co 0.7863 0.7952 0.6275  5 O 2.04-2.24
4 W 0.4947 0.4970 0.5124  6 O 1.95-2.06
5 O 0.1128 0.3848 0.7856  1 Fe 2.01, 1 W 2.02, 1 Co 2.06
6 O 0.2188 0.8809 0.2925  1 W 2.01, 2 Co 2.03-2.24, 1 Fe 2.09
7 O 0.3757 0.7167 0.7941  1 Fe 1.99, 1 Co 2.05, 1 W 2.06
8 O 0.6065 0.2212 0.2951  1 W 2.01, 2 Co 2.02-2.22, 1 Fe 2.13
9 O 0.7132 0.1101 0.7921  1 Fe 2.00, 1 Co 2.04, 1 W 2.05
10 O 0.8677 0.6064 0.2906  1 W 1.95, 1 Co 2.06, 1 Fe 2.13

***

# 13
Here is a geometry-optimized ZnFe8Co3O16 structure from Alexandria. Energies are from GGA+U.

Computed properties:
theoretical density: 5.3 g/cm³
crystal system: tetragonal

a b c (Å): 5.9609 5.9609 8.3381
angles (deg): 90.00 90.00 90.00
Last column: nearest neighbours and their distance in Å.
Space group P-4m2 (No. 115)
Inequivalent atoms, fractional coordinates:
1 Zn 0.0000 0.0000 0.0000  4 O 1.99
2 Fe 0.0000 0.2482 0.3787  6 O 1.95-1.99
3 Fe 0.2495 0.5000 0.1297  6 O 2.03-2.07
4 Co 0.0000 0.5000 0.7432  4 O 1.97-1.99
5 Co 0.5000 0.5000 0.5000  4 O 1.98
6 O 0.0000 0.2210 0.6117  3 Fe 1.95-1.98, 1 Co 1.99
7 O 0.0000 0.2676 0.1427  3 Fe 1.97-2.04, 1 Zn 1.99
8 O 0.2196 0.5000 0.3720  1 Co 1.98, 3 Fe 1.99-2.03
9 O 0.2680 0.5000 0.8824  1 Co 1.97, 3 Fe 2.04-2.07

***

# 14
Here is a geometry-optimized Zn2FeCoO structure from Alexandria. Energies are from GGA+U.

Computed properties:
theoretical density: 5.1 g/cm³
crystal system: tetragonal

a b c (Å): 4.9537 4.9537 3.4833
angles (deg): 90.00 90.00 90.00
Last column: nearest neighbours and their distance in Å.
Space group P4/mmm (No. 123)
Inequivalent atoms, fractional coordinates:
1 Zn 0.0000 0.5000 0.0000  2 Co 2.48
2 Fe 0.0000 0.0000 0.5000  8 Zn 3.03
3 Co 0.5000 0.5000 0.0000  2 O 1.74
4 O 0.5000 0.5000 0.5000  2 Co 1.74

***

| no. | DFT total energy (eV per atom) | calculated volume (Å³ per cell) | total moment (μB/f.u.) |
| --- | --- | --- | --- |
| 1 | -7.430 | 107.0 | 7.00 |
| 2 | -6.741 | 311.0 | 11.01 |
| 3 | -5.897 | 330.0 | 7.98 |
| 4 | -6.121 | 222.3 | 11.01 |
| 5 | -5.741 | 517.7 | 5.04 |
| 6 | -7.047 | 302.8 | 7.94 |
| 7 | -5.254 | 1338.8 | 4.99 |
| 8 | -7.188 | 146.6 | 2.00 |
| 9 | -6.932 | 314.6 | 10.00 |
| 10 | -4.107 | 67.6 | 0.00 |
| 11 | -4.638 | 74.0 | 2.99 |
| 12 | -6.760 | 109.9 | 10.00 |
| 13 | -6.254 | 296.3 | 7.00 |
| 14 | -3.346 | 85.5 | 5.97 |